No. 1
## Sm8TmHg2 (GGA-PBE)

Data for crystalline Sm8TmHg2 at its relaxed geometry.

Cell lengths 8.8884, 15.2083, 5.6493 Å; angles 90.00, 111.36, 90.00 degrees
Space group C2/m (No. 12)
Symmetry-distinct sites (fractional):
Sm (0.0000, 0.2237, 0.0000) [4 per cell]
Sm (0.1007, 0.5000, 0.7998) [4 per cell]
Sm (0.2047, 0.1125, 0.6041) [8 per cell]
Tm (0.0000, 0.0000, 0.0000) [2 per cell]
Hg (0.0000, 0.3058, 0.5000) [4 per cell]

Results
Electronic total energy in eV/atom: -3.95
ρ in g/cm3: 8.28
Formation enthalpy at 0 K in eV per atom: -0.0557

No. 2
## Fe6Pd5Au (GGA-PBE)

Data for crystalline Fe6Pd5Au at its relaxed geometry.

Cell lengths 3.8470, 7.6306, 11.5210 Å; angles 90.00, 90.00, 90.00 degrees
Space group Immm (No. 71)
Symmetry-distinct sites (fractional):
Fe (0.0000, 0.2450, 0.0000) [4 per cell]
Fe (0.0000, 0.2524, 0.3316) [8 per cell]
Pd (0.0000, 0.0000, 0.1670) [4 per cell]
Pd (0.0000, 0.5000, 0.1674) [4 per cell]
Pd (0.0000, 0.5000, 0.5000) [2 per cell]
Au (0.0000, 0.0000, 0.5000) [2 per cell]

Results
Electronic total energy in eV/atom: -6.70
ρ in g/cm3: 10.45
Formation enthalpy at 0 K in eV per atom: -0.0280

No. 3
## MgSbIO2 (GGA-PBE)

Data for crystalline MgSbIO2 at its relaxed geometry.

Cell lengths 4.2311, 4.2311, 5.3612 Å; angles 90.00, 90.00, 90.00 degrees
Space group P4/mmm (No. 123)
Symmetry-distinct sites (fractional):
Mg (0.0000, 0.0000, 0.0000) [1 per cell]
Sb (0.5000, 0.5000, 0.5000) [1 per cell]
I (0.0000, 0.0000, 0.5000) [1 per cell]
O (0.0000, 0.5000, 0.0000) [2 per cell]

Results
Offset from the most stable computed form in meV per atom: 268.6
Electronic total energy in eV/atom: -3.70
Energy relative to the elements, uncorrected in eV per formula unit: -1.32
ρ in g/cm3: 5.28

No. 4
## ZnGaBi3 (GGA-PBE)

Data for crystalline ZnGaBi3 at its relaxed geometry.

Cell lengths 5.4591, 5.4591, 5.4591 Å; angles 90.00, 90.00, 90.00 degrees
Space group Pm-3m (No. 221)
Symmetry-distinct sites (fractional):
Zn (0.0000, 0.0000, 0.0000) [1 per cell]
Ga (0.5000, 0.5000, 0.5000) [1 per cell]
Bi (0.0000, 0.0000, 0.5000) [3 per cell]

Results
Offset from the most stable computed form in meV per atom: 0.0
Electronic total energy in eV/atom: -2.72
ρ in g/cm3: 7.78
Formation enthalpy at 0 K in eV per atom: 0.4677